Density functional theory data (PBE with a Hubbard U) for crystalline MnSi3F at its relaxed geometry.

The electronic total energy comes out at -4.94 eV/atom. For the size of the total moment, the calculation gives 0.000 μB per cell. The calculation puts the energy above the most stable polymorph in this dataset at 0 kJ/mol of formula units. For the density of states at the Fermi level, the calculation gives 0.000 states/eV per atom.

abc: 4.291 4.291 4.291
angles: 90.00 90.00 90.00
Positions (direct):
Mn1 0.000 0.000 0.000
Si1 0.000 0.000 0.500
Si2 0.000 0.500 0.000
Si3 0.500 0.000 0.000
F1 0.500 0.500 0.500